[1]
# Tb7Dy4Pu

A geometry-optimized Tb7Dy4Pu structure (GGA-PBE, Alexandria).

As for the total magnetic moment: 0.000 μB/atom. Its formation energy from the elements is 0.3558 eV/atom.

```
data_Tb7Dy4Pu
_chemical_formula_sum 'Tb14 Dy8 Pu2'
_space_group_name_H-M_alt 'C 1 2/m 1'
_space_group_IT_number 12
_cell_length_a 17.902
_cell_length_b 5.344
_cell_length_c 8.127
_cell_angle_alpha 90.00
_cell_angle_beta 108.49
_cell_angle_gamma 90.00
loop_
_space_group_symop_operation_xyz
'x,y,z'
'-x,-y,-z'
'-x,y,-z'
'x,-y,z'
'x+1/2,y+1/2,z'
'-x+1/2,-y+1/2,-z'
'-x+1/2,y+1/2,-z'
'x+1/2,-y+1/2,z'
loop_
_atom_site_label
_atom_site_fract_x
_atom_site_fract_y
_atom_site_fract_z
_atom_site_occupancy
Tb1 0.000 0.000 0.000 1
Tb2 0.046 0.500 0.720 1
Tb3 0.149 0.500 0.196 1
Tb4 0.177 0.000 0.910 1
Dy1 0.091 0.000 0.447 1
Dy2 0.226 0.500 0.637 1
Pu1 0.000 0.500 0.000 1
```


[2]
# La8TbPm2

A geometry-optimized La8TbPm2 structure (GGA-PBE, Alexandria).

As for the excess energy over the best structure of this formula in the dataset: 0.512 kcal/mol of atoms. As for the total magnetic moment: 0.000 μB/atom. Its formation energy from the elements is 0.1199 eV/atom.

```
data_La8TbPm2
_chemical_formula_sum 'La16 Tb2 Pm4'
_space_group_name_H-M_alt 'C 1 2/m 1'
_space_group_IT_number 12
_cell_length_a 9.306
_cell_length_b 16.944
_cell_length_c 6.113
_cell_angle_alpha 90.00
_cell_angle_beta 124.10
_cell_angle_gamma 90.00
loop_
_space_group_symop_operation_xyz
'x,y,z'
'-x,-y,-z'
'-x,y,-z'
'x,-y,z'
'x+1/2,y+1/2,z'
'-x+1/2,-y+1/2,-z'
'-x+1/2,y+1/2,-z'
'x+1/2,-y+1/2,z'
loop_
_atom_site_label
_atom_site_fract_x
_atom_site_fract_y
_atom_site_fract_z
_atom_site_occupancy
La1 0.000 0.205 0.000 1
La2 0.080 0.500 0.799 1
La3 0.214 0.118 0.683 1
Tb1 0.000 0.000 0.000 1
Pm1 0.000 0.310 0.500 1
```


[3]
# LiHo2Sc

A geometry-optimized LiHo2Sc structure (GGA-PBE, Alexandria).

As for the excess energy over the best structure of this formula in the dataset: 0.000 kcal/mol of atoms. As for the total magnetic moment: 0.000 μB/atom. Its formation energy from the elements is 0.0860 eV/atom.

```
data_LiHo2Sc
_chemical_formula_sum 'Li1 Ho2 Sc1'
_space_group_name_H-M_alt 'P 4/m m m'
_space_group_IT_number 123
_space_group_name_Hall '-P 4 2'
_cell_length_a 3.562
_cell_length_b 3.562
_cell_length_c 8.351
_cell_angle_alpha 90.00
_cell_angle_beta 90.00
_cell_angle_gamma 90.00
loop_
_atom_site_label
_atom_site_fract_x
_atom_site_fract_y
_atom_site_fract_z
_atom_site_occupancy
Li1 0.000 0.000 0.000 1
Ho1 0.500 0.500 0.240 1
Sc1 0.000 0.000 0.500 1
```


[4]
# Sr3Zn2In2

A geometry-optimized Sr3Zn2In2 structure (GGA-PBE, Alexandria).

As for the total magnetic moment: 0.000 μB/atom. Its formation energy from the elements is -0.3234 eV/atom.

```
data_Sr3Zn2In2
_chemical_formula_sum 'Sr6 Zn4 In4'
_space_group_name_H-M_alt 'C 1 2/m 1'
_space_group_IT_number 12
_cell_length_a 12.387
_cell_length_b 4.510
_cell_length_c 8.513
_cell_angle_alpha 90.00
_cell_angle_beta 111.08
_cell_angle_gamma 90.00
loop_
_space_group_symop_operation_xyz
'x,y,z'
'-x,-y,-z'
'-x,y,-z'
'x,-y,z'
'x+1/2,y+1/2,z'
'-x+1/2,-y+1/2,-z'
'-x+1/2,y+1/2,-z'
'x+1/2,-y+1/2,z'
loop_
_atom_site_label
_atom_site_fract_x
_atom_site_fract_y
_atom_site_fract_z
_atom_site_occupancy
Sr1 0.000 0.000 0.000 1
Sr2 0.185 0.000 0.649 1
Zn1 0.197 0.500 0.939 1
In1 0.026 0.500 0.330 1
```